--- 1 ---
Al2AsH | PBE | optimized geometry

Geometry as POSCAR:
```
Al2AsH
1.0
-2.559 -0.385 -3.665
3.684 -0.404 -2.529
0.397 -6.925 -2.296
H As Al
2 2 4
Direct
0.500 0.500 0.000
0.250 0.750 0.500
0.000 0.000 0.000
0.750 0.250 0.500
0.875 0.783 0.750
0.375 0.467 0.750
0.533 0.125 0.250
0.217 0.625 0.250
```

Output
As for the magnetic moment: 0.000 μB per formula unit. As for the volume: 16.561 Å³ per atom. The density of states at the Fermi level comes out at 0.41 states/eV/cell.



--- 2 ---
Al2AsH | PBE | optimized geometry

Geometry as POSCAR:
```
Al2AsH
1.0
2.095 1.494 3.574
-2.278 0.980 3.639
0.353 -2.551 3.572
H Al As
1 2 1
Direct
0.000 0.000 0.000
0.750 0.750 0.750
0.250 0.250 0.250
0.500 0.500 0.500
```

Output
As for the magnetic moment: 0.000 μB per formula unit. As for the volume: 15.095 Å³ per atom. The density of states at the Fermi level comes out at 0.49 states/eV/cell.



Relative energies with respect to the most stable structure, expressed in kJ/mol of atoms: 1 0.0; 2 23.6.



--- 1 ---
AlAsH2 | PBE | optimized geometry

Geometry as POSCAR:
```
AlAsH2
1.0
-1.463 0.927 -3.234
-3.335 -0.865 1.261
-3.203 6.267 1.165
Al H As
2 4 2
Direct
0.250 0.750 0.500
0.500 0.500 0.000
0.875 0.447 0.750
0.553 0.625 0.250
0.375 0.803 0.750
0.197 0.125 0.250
0.750 0.250 0.500
0.000 0.000 0.000
```

Output
As for the magnetic moment: 0.000 μB per formula unit. As for the volume: 11.180 Å³ per atom. The density of states at the Fermi level comes out at 3.60 states/eV/cell.



--- 2 ---
AlAsH2 | PBE | optimized geometry

Geometry as POSCAR:
```
AlAsH2
1.0
0.000 2.734 2.734
2.734 0.000 2.734
2.734 2.734 0.000
As H Al
1 2 1
Direct
0.500 0.500 0.500
0.750 0.750 0.750
0.250 0.250 0.250
0.000 0.000 0.000
```

Output
As for the magnetic moment: 0.000 μB per formula unit. As for the volume: 10.223 Å³ per atom. The density of states at the Fermi level comes out at 0.99 states/eV/cell.



Relative energies with respect to the most stable structure, expressed in kJ/mol of atoms: 1 0.0; 2 15.5.



--- 1 ---
AlAs3H | PBE | optimized geometry

Geometry as POSCAR:
```
AlAs3H
1.0
-3.758 -0.464 2.029
0.395 -4.271 -0.245
2.044 -0.027 3.779
As H Al
3 1 1
Direct
0.000 0.500 0.000
0.500 0.000 0.000
0.000 0.000 0.500
0.000 0.000 0.000
0.500 0.500 0.500
```

Output
As for the magnetic moment: 0.000 μB per formula unit. As for the volume: 15.859 Å³ per atom. The density of states at the Fermi level comes out at 2.25 states/eV/cell.



--- 2 ---
AlAs3H | PBE | optimized geometry

Geometry as POSCAR:
```
AlAs3H
1.0
4.866 0.000 0.000
0.000 4.866 0.000
0.000 0.000 4.866
Al As H
1 3 1
Direct
0.000 0.000 0.000
0.000 0.500 0.000
0.000 0.000 0.500
0.500 0.000 0.000
0.500 0.500 0.500
```

Output
As for the magnetic moment: 1.010 μB per formula unit. As for the volume: 23.040 Å³ per atom. The density of states at the Fermi level comes out at 1.74 states/eV/cell.



Relative energies with respect to the most stable structure, expressed in kJ/mol of atoms: 1 0.0; 2 45.9.



--- 1 ---
Hf3AlAs | PBE | optimized geometry

Geometry as POSCAR:
```
Hf3AlAs
1.0
7.023 0.630 -0.586
3.989 5.815 -0.586
2.547 1.491 11.194
Hf Al As
12 4 4
Direct
0.825 0.834 0.824
0.834 0.825 0.324
0.649 0.669 0.666
0.193 0.678 0.555
0.166 0.175 0.676
0.669 0.649 0.166
0.351 0.331 0.334
0.322 0.807 0.945
0.807 0.322 0.445
0.678 0.193 0.055
0.331 0.351 0.834
0.175 0.166 0.176
0.388 0.892 0.415
0.892 0.388 0.915
0.108 0.612 0.085
0.612 0.108 0.585
0.000 0.500 0.500
0.769 0.231 0.250
0.231 0.769 0.750
0.500 0.000 0.000
```

Output
As for the magnetic moment: 0.000 μB per formula unit. As for the volume: 21.968 Å³ per atom. The density of states at the Fermi level comes out at 11.70 states/eV/cell.



--- 2 ---
Hf3AlAs | PBE | optimized geometry

Geometry as POSCAR:
```
Hf3AlAs
1.0
4.907 0.000 0.000
0.000 4.907 0.000
0.000 0.000 4.907
As Al Hf
1 1 3
Direct
0.000 0.000 0.000
0.500 0.500 0.500
0.000 0.000 0.500
0.000 0.500 0.000
0.500 0.000 0.000
```

Output
As for the magnetic moment: 0.000 μB per formula unit. As for the volume: 23.635 Å³ per atom. The density of states at the Fermi level comes out at 2.64 states/eV/cell.



Relative energies with respect to the most stable structure, expressed in kJ/mol of atoms: 1 0.0; 2 40.6.



--- 1 ---
HfAl3As | PBE | optimized geometry

Geometry as POSCAR:
```
HfAl3As
1.0
4.792 0.000 0.000
0.000 4.792 0.000
0.000 0.000 4.792
Al Hf As
3 1 1
Direct
0.000 0.000 0.500
0.500 0.000 0.000
0.000 0.500 0.000
0.500 0.500 0.500
0.000 0.000 0.000
```

Output
As for the magnetic moment: 0.000 μB per formula unit. As for the volume: 22.011 Å³ per atom. The density of states at the Fermi level comes out at 4.28 states/eV/cell.



--- 2 ---
HfAl3As | PBE | optimized geometry

Geometry as POSCAR:
```
HfAl3As
1.0
-2.501 -1.983 4.142
-1.064 -4.338 -2.719
4.467 -2.143 1.671
Al Hf As
3 1 1
Direct
0.500 0.000 0.000
0.000 0.500 0.000
0.000 0.000 0.500
0.000 0.000 0.000
0.500 0.500 0.500
```

Output
As for the magnetic moment: 0.000 μB per formula unit. As for the volume: 28.596 Å³ per atom. The density of states at the Fermi level comes out at 5.13 states/eV/cell.



Relative energies with respect to the most stable structure, expressed in kJ/mol of atoms: 1 0.0; 2 44.5.



--- 1 ---
HfAlAsSe2 | PBE | optimized geometry

Geometry as POSCAR:
```
HfAlAsSe2
1.0
5.155 0.000 0.000
0.000 5.155 0.000
0.000 0.000 5.244
Hf Se As Al
1 2 1 1
Direct
0.000 0.000 0.000
0.500 0.000 0.000
0.000 0.500 0.000
0.000 0.000 0.500
0.500 0.500 0.500
```

Output
As for the magnetic moment: 0.000 μB per formula unit. As for the volume: 27.867 Å³ per atom. The density of states at the Fermi level comes out at 3.78 states/eV/cell.



--- 2 ---
HfAlAsSe2 | PBE | optimized geometry

Geometry as POSCAR:
```
HfAlAsSe2
1.0
-4.212 -1.985 -1.165
-0.457 -1.660 4.480
-2.255 4.042 1.268
As Se Al Hf
1 2 1 1
Direct
0.000 0.000 0.500
0.000 0.500 0.000
0.500 0.000 0.000
0.000 0.000 0.000
0.500 0.500 0.500
```

Output
As for the magnetic moment: 0.000 μB per formula unit. As for the volume: 22.113 Å³ per atom. The density of states at the Fermi level comes out at 3.38 states/eV/cell.



Relative energies with respect to the most stable structure, expressed in kJ/mol of atoms: 1 0.0; 2 29.0.